Below is crystalline TiIrO2 at its relaxed geometry, with properties calculated at the PBE level.

Output
Total magnetization (μB/f.u.): 0.00
E_form (uncorrected) (meV/atom): -1731
Space group: R-3m, No. 166
Relative energy among the computed polymorphs (eV/atom): 0.0000

Cell: 6.545 6.545 6.545 Å, 25.25 25.25 25.25°
Fractional coordinates of all 4 atoms:
Ti 0.000 0.000 0.000
Ir 0.500 0.500 0.500
O 0.393 0.393 0.393
O 0.607 0.607 0.607


Below is crystalline CaTaPb3 at its relaxed geometry, with properties calculated at the PBE level.

Output
Total magnetization (μB/f.u.): 0.00
Space group: Pm-3m, No. 221
E_form (eV/f.u.): 1.41
Relative energy among the computed polymorphs (eV/atom): 0.0000

Cell: 5.530 5.530 5.530 Å, 90.00 90.00 90.00°
Fractional coordinates of all 5 atoms:
Ca 0.000 0.000 0.000
Ta 0.500 0.500 0.500
Pb 0.000 0.500 0.500
Pb 0.500 0.000 0.500
Pb 0.500 0.500 0.000


Below is crystalline Zn3HgSe4 at its relaxed geometry, with properties calculated at the PBE level.

Output
Total magnetization (μB/f.u.): 0.00
E_form (uncorrected) (meV/atom): -575
Space group: Pmn2_1, No. 31

Cell: 8.276 7.164 6.799 Å, 90.00 90.00 90.00°
Fractional coordinates of all 16 atoms:
Zn 0.000 0.173 0.000
Zn 0.249 0.664 0.002
Zn 0.251 0.336 0.502
Zn 0.500 0.827 0.500
Zn 0.749 0.336 0.502
Zn 0.751 0.664 0.002
Hg 0.000 0.835 0.497
Hg 0.500 0.165 0.997
Se 0.000 0.189 0.634
Se 0.000 0.839 0.100
Se 0.236 0.342 0.136
Se 0.264 0.658 0.636
Se 0.500 0.161 0.600
Se 0.500 0.811 0.134
Se 0.736 0.658 0.636
Se 0.764 0.342 0.136


Below is crystalline RbGaO2 at its relaxed geometry, with properties calculated at the PBE level.

Output
Total magnetization (μB/f.u.): 0.00
E_form (uncorrected) (meV/atom): -1368
Space group: P3m1, No. 156

Cell: 3.352 3.352 6.803 Å, 90.00 90.00 120.00°
Fractional coordinates of all 4 atoms:
Rb 0.000 0.000 0.000
Ga 0.333 0.667 0.498
O 0.333 0.667 0.752
O 0.667 0.333 0.384